# 1
Density functional theory data (PBE) for a geometry-optimized Y2AlI2 structure.

Cell lengths 5.842, 5.842, 6.250 Å; angles 62.14, 62.14, 90.00 degrees
Fractional positions:
I1 0.327 0.327 0.346
I2 0.673 0.673 0.654
Y1 0.750 0.250 0.500
Y2 0.250 0.750 0.500
Al1 0.000 0.000 0.000

Crystal system: tetragonal
Spin magnetization in μB per formula unit: 0.00
Relative energy among the computed polymorphs in eV per atom: 0.024
Formation energy without anion corrections in eV per atom: -0.2020

# 2
Density functional theory data (PBE) for a geometry-optimized YAl3I structure.

Cell lengths 5.888, 5.888, 5.888 Å; angles 90.00, 90.00, 90.00 degrees
Last column: magnetic moment on the atom in μB.
Fractional positions:
I1 0.500 0.500 0.500  0.05
Y1 0.000 0.000 0.000  0.56
Al1 0.000 0.500 0.000  0.10
Al2 0.000 0.000 0.500  0.08
Al3 0.500 0.000 0.000  0.07

Crystal system: cubic
Spin magnetization in μB per formula unit: 2.35
Relative energy among the computed polymorphs in eV per atom: 0.072
Formation energy without anion corrections in eV per atom: 0.9411

# 3
Density functional theory data (PBE) for a geometry-optimized AlZn2I structure.

Cell lengths 5.166, 5.166, 5.166 Å; angles 60.00, 60.00, 60.00 degrees
Fractional positions:
I1 0.500 0.500 0.500
Zn1 0.250 0.250 0.250
Zn2 0.750 0.750 0.750
Al1 0.000 0.000 0.000

Crystal system: cubic
Spin magnetization in μB per formula unit: 0.00
Relative energy among the computed polymorphs in eV per atom: 0.266
Formation energy without anion corrections in eV per atom: 0.4796

# 4
Density functional theory data (PBE) for a geometry-optimized Al2ZnI structure.

Cell lengths 6.107, 6.107, 7.925 Å; angles 67.34, 67.34, 90.00 degrees
Fractional positions:
I1 0.000 0.000 0.000
I2 0.750 0.250 0.500
Zn1 0.500 0.500 0.000
Zn2 0.250 0.750 0.500
Al1 0.538 0.125 0.250
Al2 0.212 0.625 0.250
Al3 0.375 0.462 0.750
Al4 0.875 0.788 0.750

Crystal system: tetragonal
Spin magnetization in μB per formula unit: 0.00
Relative energy among the computed polymorphs in eV per atom: 0.000
Formation energy without anion corrections in eV per atom: 0.3369

# 5
Density functional theory data (PBE) for a geometry-optimized AlZn3I structure.

Cell lengths 5.509, 5.509, 5.509 Å; angles 90.00, 90.00, 90.00 degrees
Fractional positions:
I1 0.000 0.000 0.000
Zn1 0.000 0.500 0.000
Zn2 0.000 0.000 0.500
Zn3 0.500 0.000 0.000
Al1 0.500 0.500 0.500

Crystal system: cubic
Spin magnetization in μB per formula unit: 0.00
Relative energy among the computed polymorphs in eV per atom: 0.791
Formation energy without anion corrections in eV per atom: 0.9826

# 6
Density functional theory data (PBE) for a geometry-optimized AlZnI3 structure.

Cell lengths 5.598, 5.598, 5.598 Å; angles 90.00, 90.00, 90.00 degrees
Fractional positions:
I1 0.000 0.500 0.000
I2 0.000 0.000 0.500
I3 0.500 0.000 0.000
Zn1 0.500 0.500 0.500
Al1 0.000 0.000 0.000

Crystal system: cubic
Spin magnetization in μB per formula unit: 0.00
Relative energy among the computed polymorphs in eV per atom: 0.000
Formation energy without anion corrections in eV per atom: -0.0907

# 7
Density functional theory data (PBE) for a geometry-optimized Al3ZnI structure.

Cell lengths 5.000, 5.000, 5.000 Å; angles 90.00, 90.00, 90.00 degrees
Fractional positions:
I1 0.500 0.500 0.500
Zn1 0.000 0.000 0.000
Al1 0.000 0.500 0.000
Al2 0.000 0.000 0.500
Al3 0.500 0.000 0.000

Crystal system: cubic
Spin magnetization in μB per formula unit: 0.00
Relative energy among the computed polymorphs in eV per atom: 0.000
Formation energy without anion corrections in eV per atom: 0.3557

# 8
Density functional theory data (PBE) for a geometry-optimized AlZn3I structure.

Cell lengths 5.053, 5.053, 5.053 Å; angles 90.00, 90.00, 90.00 degrees
Fractional positions:
I1 0.500 0.500 0.500
Zn1 0.000 0.500 0.000
Zn2 0.000 0.000 0.500
Zn3 0.500 0.000 0.000
Al1 0.000 0.000 0.000

Crystal system: cubic
Spin magnetization in μB per formula unit: 0.00
Relative energy among the computed polymorphs in eV per atom: 0.000
Formation energy without anion corrections in eV per atom: 0.1919

# 9
Density functional theory data (PBE) for a geometry-optimized AlZnI2 structure.

Cell lengths 6.441, 6.441, 9.535 Å; angles 70.26, 70.26, 90.00 degrees
Fractional positions:
I1 0.672 0.125 0.250
I2 0.078 0.625 0.250
I3 0.375 0.328 0.750
I4 0.875 0.922 0.750
Zn1 0.000 0.000 0.000
Zn2 0.750 0.250 0.500
Al1 0.500 0.500 0.000
Al2 0.250 0.750 0.500

Crystal system: tetragonal
Spin magnetization in μB per formula unit: 0.00
Relative energy among the computed polymorphs in eV per atom: 0.000
Formation energy without anion corrections in eV per atom: 0.1383

# 10
Density functional theory data (PBE) for a geometry-optimized AlZn2I structure.

Cell lengths 6.601, 6.601, 7.362 Å; angles 63.37, 63.37, 90.00 degrees
Fractional positions:
I1 0.000 0.000 0.000
I2 0.750 0.250 0.500
Zn1 0.576 0.125 0.250
Zn2 0.174 0.625 0.250
Zn3 0.375 0.424 0.750
Zn4 0.875 0.826 0.750
Al1 0.500 0.500 0.000
Al2 0.250 0.750 0.500

Crystal system: tetragonal
Spin magnetization in μB per formula unit: 0.00
Relative energy among the computed polymorphs in eV per atom: 0.000
Formation energy without anion corrections in eV per atom: 0.2140

# 11
Density functional theory data (PBE) for a geometry-optimized AlZnI2 structure.

Cell lengths 5.480, 5.480, 5.480 Å; angles 60.00, 60.00, 60.00 degrees
Fractional positions:
I1 0.250 0.250 0.250
I2 0.750 0.750 0.750
Zn1 0.500 0.500 0.500
Al1 0.000 0.000 0.000

Crystal system: cubic
Spin magnetization in μB per formula unit: 0.00
Relative energy among the computed polymorphs in eV per atom: 0.023
Formation energy without anion corrections in eV per atom: 0.1611

# 12
Density functional theory data (PBE) for a geometry-optimized Al3ZnI structure.

Cell lengths 5.929, 5.929, 5.929 Å; angles 90.00, 90.00, 90.00 degrees
Fractional positions:
I1 0.000 0.000 0.000
Zn1 0.500 0.500 0.500
Al1 0.000 0.500 0.000
Al2 0.000 0.000 0.500
Al3 0.500 0.000 0.000

Crystal system: cubic
Spin magnetization in μB per formula unit: 0.00
Relative energy among the computed polymorphs in eV per atom: 0.799
Formation energy without anion corrections in eV per atom: 1.1542